[1]
VASP calculation (PBE-GGA) on a relaxed GdScInPt crystal.

a b c (Å): 5.0206 5.0206 5.0206
angles (deg): 60.00 60.00 60.00
With the nearest neighbours (Å) after each atom.
Positions (direct):
Sc  0.5000  0.5000  0.5000  4 In 3.07, 4 Pt 3.07
Pt  0.7500  0.7500  0.7500  4 Sc 3.07, 4 Gd 3.07
Gd  0.0000  0.0000  0.0000  4 Pt 3.07, 4 In 3.07
In  0.2500  0.2500  0.2500  4 Gd 3.07, 4 Sc 3.07

Summary:
E_form, eV/atom: -0.71
Space-group type: F-43m

---

[2]
VASP calculation (PBE-GGA) on a relaxed MgNiN crystal.

a b c (Å): 3.3131 3.3131 5.7507
angles (deg): 90.00 90.00 90.00
With the nearest neighbours (Å) after each atom.
Positions (direct):
Ni  0.0000  0.0000  0.5000  4 N 2.28, 4 Ni 2.34
Ni  0.5000  0.5000  0.5000  4 N 2.28, 4 Ni 2.34
N  0.0000  0.5000  0.2265  5 Mg 2.17-2.38, 4 Ni 2.28
N  0.5000  0.0000  0.7735  5 Mg 2.17-2.38, 4 Ni 2.28
Mg  0.5000  0.0000  0.1506  5 N 2.17-2.38
Mg  0.0000  0.5000  0.8494  5 N 2.17-2.38

Summary:
Raw formation energy, eV/atom: 0.122
Energy above the lowest structure with this stoichiometry, eV per atom: 0.491
Space-group type: P4/nmm

---

[3]
VASP calculation (PBE-GGA) on a relaxed Tm2HgPd crystal.

a b c (Å): 5.0466 5.0466 5.0466
angles (deg): 60.00 60.00 60.00
With the nearest neighbours (Å) after each atom.
Positions (direct):
Pd  0.5000  0.5000  0.5000  8 Tm 3.09
Hg  0.0000  0.0000  0.0000  8 Tm 3.09
Tm  0.7500  0.7500  0.7500  4 Pd 3.09, 4 Hg 3.09
Tm  0.2500  0.2500  0.2500  4 Hg 3.09, 4 Pd 3.09

Summary:
Energy above the lowest structure with this stoichiometry, eV per atom: 0.035
E_form, eV/atom: -0.68
Space-group type: Fm-3m

---

[4]
VASP calculation (PBE-GGA) on a relaxed NaHfSc crystal.

a b c (Å): 8.6029 3.2164 6.0100
angles (deg): 105.50 75.79 90.04
With the nearest neighbours (Å) after each atom.
Positions (direct):
Na  0.7638  0.3380  0.6428  5 Na 3.11-3.22
Na  0.7114  0.6175  0.1941  5 Na 3.11-3.22
Hf  0.4057  0.0068  0.9775  3 Sc 3.04-3.09, 5 Hf 3.08-3.22
Hf  0.3608  0.2914  0.5461  5 Hf 3.08-3.22, 4 Sc 3.09-3.11
Sc  0.1319  0.6735  0.3120  4 Hf 3.09-3.11, 5 Sc 3.11-3.22
Sc  0.0797  0.9500  0.8639  3 Hf 3.04-3.09, 5 Sc 3.11-3.22

Summary:
Energy above the lowest structure with this stoichiometry, eV per atom: 0.093
E_form, eV/atom: 0.25
Space-group type: P1

---

Number 1: density of states at the Fermi level 3.2 states/eV per cell, E_tot -8.01 eV per atom. Number 2: density of states at the Fermi level 4.1 states/eV per cell, E_tot -5.11 eV per atom. Number 3: density of states at the Fermi level 2.0 states/eV per cell, E_tot -4.29 eV per atom. Number 4: density of states at the Fermi level 4.9 states/eV per cell, E_tot -5.62 eV per atom.